1.
Entry from the Alexandria database: RbAsH2IrSe after structural relaxation (PBE-GGA).

Cell: 4.2999 4.3715 6.6424 Å, 84.46 82.02 82.17°
Element x y z (fractional)
1 Se 0.9504 0.9166 0.6808
2 Rb 0.3693 0.3520 0.9621
3 Ir 0.4906 0.8156 0.4434
4 As 0.7673 0.2974 0.3995
5 H 0.2521 0.7975 0.2829
6 H 0.7460 0.8156 0.2432

Calculated values
The value obtained for the theoretical density is 5.896 Mg/m³. The calculation puts the density of states at the Fermi level at 1.49 states/eV per cell. The energy comes out at -25.961 eV per formula unit. As for the crystal system: triclinic. The size of the total moment is 0.0 μB/f.u.


2.
Entry from the Alexandria database: RbAsH2IrSe after structural relaxation (PBE-GGA).

Cell: 4.9583 3.9429 13.2952 Å, 90.00 98.65 90.00°
Element x y z (fractional)
1 Ir 0.4076 0.5000 0.7370
2 Ir 0.4076 0.0000 0.2370
3 H 0.2122 0.0000 0.1221
4 H 0.2122 0.5000 0.6221
5 H 0.5605 0.5000 0.8584
6 H 0.5605 0.0000 0.3584
7 Rb 0.0474 0.0000 0.4922
8 Rb 0.0474 0.5000 0.9922
9 Se 0.1276 0.5000 0.2920
10 Se 0.1276 0.0000 0.7920
11 As 0.6566 0.5000 0.1986
12 As 0.6566 0.0000 0.6986

Calculated values
The value obtained for the theoretical density is 5.604 Mg/m³. The calculation puts the density of states at the Fermi level at 5.67 states/eV per cell. The energy comes out at -26.310 eV per formula unit. As for the crystal system: monoclinic. The size of the total moment is 0.0 μB/f.u.